No. 1
Here is a relaxed Er2PuUN4 crystal from the Alexandria database. Energies are from PBE-GGA.

a b c (Å): 3.4446 5.9543 5.9618
angles (deg): 109.30 90.00 90.00
Each line ends with the local moment (μB).
Atoms (fractional coordinates):
Er: 0.5000 0.0000 0.5000  0.06
Er: 0.0000 0.5000 0.5000  0.10
Pu: 0.5000 0.5000 0.0000  4.74
U: 0.0000 0.0000 0.0000  1.29
N: 0.5000 0.2393 0.2443  -0.07
N: 0.5000 0.7607 0.7557  -0.07
N: 0.0000 0.2407 0.7570  -0.10
N: 0.0000 0.7593 0.2430  -0.10

space group: P2/m
spin magnetization: 6.152 μB per formula unit
formation energy without anion corrections: -1525.3 meV per atom
mass density: 12555 kg/m³

No. 2
Here is a relaxed ErPu2UN4 crystal from the Alexandria database. Energies are from PBE-GGA.

a b c (Å): 3.4673 5.9839 5.9856
angles (deg): 109.23 90.00 90.00
Each line ends with the local moment (μB).
Atoms (fractional coordinates):
Er: 0.5000 0.5000 0.0000  0.09
Pu: 0.5000 0.0000 0.5000  4.83
Pu: 0.0000 0.5000 0.5000  4.99
U: 0.0000 0.0000 0.0000  1.24
N: 0.5000 0.2385 0.2333  -0.13
N: 0.5000 0.7615 0.7667  -0.13
N: 0.0000 0.2419 0.7617  -0.13
N: 0.0000 0.7581 0.2383  -0.13

space group: P2/m
spin magnetization: 11.225 μB per formula unit
formation energy without anion corrections: -1412.2 meV per atom
mass density: 13443 kg/m³

No. 3
Here is a relaxed Er2Pu3UN6 crystal from the Alexandria database. Energies are from PBE-GGA.

a b c (Å): 5.9858 5.9858 6.0060
angles (deg): 99.57 99.57 119.99
Each line ends with the local moment (μB).
Atoms (fractional coordinates):
Er: 0.3337 0.6663 0.0000  0.12
Er: 0.6663 0.3337 0.0000  0.12
Pu: 0.1694 0.8306 0.5000  4.92
Pu: 0.8306 0.1694 0.5000  4.92
Pu: 0.5000 0.5000 0.5000  4.92
U: 0.0000 0.0000 0.0000  1.25
N: 0.9208 0.5999 0.7621  -0.13
N: 0.7594 0.7594 0.2395  -0.13
N: 0.0792 0.4001 0.2379  -0.13
N: 0.5999 0.9208 0.7621  -0.13
N: 0.2406 0.2406 0.7605  -0.13
N: 0.4001 0.0792 0.2379  -0.13

space group: C2/m
spin magnetization: 16.311 μB per formula unit
formation energy without anion corrections: -1453.1 meV per atom
mass density: 13117 kg/m³

No. 4
Here is a relaxed ErPuW2N6 crystal from the Alexandria database. Energies are from PBE-GGA.

a b c (Å): 6.3329 7.3949 7.3949
angles (deg): 81.08 72.71 72.71
Each line ends with the local moment (μB).
Atoms (fractional coordinates):
Er: 0.2500 0.2866 0.7134  -0.03
Er: 0.7500 0.7134 0.2866  -0.03
Pu: 0.2500 0.9087 0.0913  -4.73
Pu: 0.7500 0.0913 0.9087  -4.73
W: 0.2810 0.7966 0.6208  -0.14
W: 0.2190 0.3792 0.2034  -0.14
W: 0.7190 0.2034 0.3792  -0.14
W: 0.7810 0.6208 0.7966  -0.14
N: 0.1550 0.9993 0.7812  0.06
N: 0.3450 0.2188 0.0007  0.06
N: 0.8450 0.0007 0.2188  0.06
N: 0.6550 0.7812 0.9993  0.06
N: 0.3413 0.8816 0.3720  0.05
N: 0.1587 0.6280 0.1184  0.05
N: 0.6587 0.1184 0.6280  0.05
N: 0.8413 0.3720 0.8816  0.05
N: 0.0851 0.6278 0.6639  0.01
N: 0.4149 0.3361 0.3722  0.01
N: 0.9149 0.3722 0.3361  0.01
N: 0.5851 0.6639 0.6278  0.01

space group: C2/c
spin magnetization: 5.001 μB per formula unit
formation energy without anion corrections: -886.7 meV per atom
mass density: 9102 kg/m³

Copy entry 2 word for word.
Here is a relaxed ErPu2UN4 crystal from the Alexandria database. Energies are from PBE-GGA.

a b c (Å): 3.4673 5.9839 5.9856
angles (deg): 109.23 90.00 90.00
Each line ends with the local moment (μB).
Atoms (fractional coordinates):
Er: 0.5000 0.5000 0.0000  0.09
Pu: 0.5000 0.0000 0.5000  4.83
Pu: 0.0000 0.5000 0.5000  4.99
U: 0.0000 0.0000 0.0000  1.24
N: 0.5000 0.2385 0.2333  -0.13
N: 0.5000 0.7615 0.7667  -0.13
N: 0.0000 0.2419 0.7617  -0.13
N: 0.0000 0.7581 0.2383  -0.13

space group: P2/m
spin magnetization: 11.225 μB per formula unit
formation energy without anion corrections: -1412.2 meV per atom
mass density: 13443 kg/m³

Among the records above, which one has the highest formation energy without anion corrections?
ErPuW2N6

What is the formula in the first record?
Er2PuUN4